(1)
Compound: ScAgTe
Source: the Alexandria database
Functional: PBE
Structure: relaxed

Cell: 4.0505 4.0505 5.4050 Å, 90.00 90.00 120.00°
Last column: nearest neighbours and their distance in Å.
Space group P3m1 (No. 156)
Symmetry-distinct sites (fractional):
Sc (0.0000, 0.0000, 0.0000) [1 per cell]  3 Te 2.91, 3 Ag 2.93
Ag (0.3333, 0.6667, 0.6743) [1 per cell]  3 Sc 2.93, 3 Te 3.02
Te (0.6667, 0.3333, 0.3198) [1 per cell]  3 Sc 2.91, 3 Ag 3.02

Its energy relative to the elements, uncorrected is -0.44 eV per atom. The value obtained for the polymorph energy (0 for the lowest one) is 147 meV/atom.

(2)
Compound: Tb3CeN
Source: the Alexandria database
Functional: PBE
Structure: relaxed

Cell: 4.9807 4.9807 4.9807 Å, 90.00 90.00 90.00°
Last column: nearest neighbours and their distance in Å.
Space group Pm-3m (No. 221)
Symmetry-distinct sites (fractional):
Tb (0.0000, 0.0000, 0.5000) [3 per cell]  2 N 2.49
Ce (0.5000, 0.5000, 0.5000) [1 per cell]  12 Tb 3.52
N (0.0000, 0.0000, 0.0000) [1 per cell]  6 Tb 2.49

Its energy relative to the elements, uncorrected is -0.41 eV per atom.